Entry from Alexandria: crystalline Na3Tl2Pd5 at its relaxed geometry (PBE-GGA).

Properties
Formation enthalpy at 0 K = -0.1104 eV per atom
Density = 8.431 g/cm³
Calculated total energy = -3.576 eV/atom
Calculated volume = 795.6 Å³/cell

Cell: 10.5096 13.3962 5.6577 Å, 90.00 92.81 90.00°
Last column: nearest neighbours and their distance in Å.
Space group C2/c (No. 15)
Asymmetric unit:
Na  0.0000  0.0367  0.2500 (multiplicity 4)  2 Na 3.00, 4 Tl 3.08-3.14, 4 Pd 3.24
Na  0.1117  0.2614  0.0985 (multiplicity 8)  5 Pd 2.92-3.25, 2 Na 2.97-3.18, 2 Tl 3.00-3.12
Tl  0.1644  0.1502  0.6283 (multiplicity 8)  4 Pd 2.76-2.81, 2 Na 3.00-3.08
Pd  0.0000  0.4676  0.2500 (multiplicity 4)  10 Pd 2.79-2.96
Pd  0.1144  0.3524  0.6306 (multiplicity 8)  2 Tl 2.76-2.81, 5 Pd 2.79-2.87, 2 Na 2.92
Pd  0.2301  0.4680  0.0016 (multiplicity 8)  2 Tl 2.79-2.81, 6 Pd 2.81-2.96, 1 Na 3.09